Below is a relaxed structure of MnTl2Cl2F2, with properties calculated at the GGA+U level.

- VASP energy (eV per atom) = -4.50
- space group = No. 139

abc: 4.4549 4.4549 8.7229
angles: 104.79 104.79 90.00
With the nearest neighbours (Å) after each atom.
Positions (direct):
F: 0.5000 0.0000 0.0000  2 Mn 2.23
Tl: 0.6318 0.6318 0.2636  4 F 3.09, 5 Cl 3.18-3.42
Mn: 0.0000 0.0000 0.0000  4 F 2.23
Tl: 0.3682 0.3682 0.7364  4 F 3.09, 5 Cl 3.18-3.42
Cl: 0.8424 0.8424 0.6847  1 Mn 2.56
Cl: 0.1577 0.1577 0.3153  1 Mn 2.56
F: 0.0000 0.5000 0.0000  2 Mn 2.23